# 1
First-principles (PBE) data for a relaxed structure of CrFeSiAg2, as listed in Alexandria via LeMat-Bulk.

The energy comes out at -4.84 eV/atom. The calculation puts the energy relative to the elements, uncorrected at 1.0012 eV/atom.

The space group is P4/mmm (No. 123) and the conventional cell measures 4.644, 4.644 and 4.520 Å, with angles of 90.00, 90.00 and 90.00 degrees. The asymmetric unit holds Cr at (0.000, 0.000, 0.000), Fe at (0.500, 0.500, 0.000), Si at (0.000, 0.000, 0.500) and Ag at (0.000, 0.500, 0.500).



# 2
First-principles (PBE) data for a relaxed structure of ZnCrFeAg2, as listed in Alexandria via LeMat-Bulk.

As for the formation energy: 1.18 eV/atom. The energy comes out at -3.83 eV/atom.

The space group is P4/mmm (No. 123) and the conventional cell measures 4.730, 4.730 and 4.711 Å, with angles of 90.00, 90.00 and 90.00 degrees. The asymmetric unit holds Zn at (0.000, 0.000, 0.000), Cr at (0.000, 0.000, 0.500), Fe at (0.500, 0.500, 0.500) and Ag at (0.000, 0.500, 0.000).



# 3
First-principles (PBE) data for a relaxed structure of Cr3GaAg, as listed in Alexandria via LeMat-Bulk.

As for the formation energy: 1.14 eV/atom. The energy comes out at -5.81 eV/atom. For the polymorph energy (0 for the lowest one), the calculation gives 0.000 eV per atom.

The space group is Pm-3m (No. 221) and the conventional cell measures 4.750, 4.750 and 4.750 Å, with angles of 90.00, 90.00 and 90.00 degrees. The asymmetric unit holds Cr at (0.000, 0.000, 0.500), Ga at (0.000, 0.000, 0.000) and Ag at (0.500, 0.500, 0.500).



# 4
First-principles (PBE) data for a relaxed structure of CrGa2Ag, as listed in Alexandria via LeMat-Bulk.

As for the formation energy: 0.10 eV/atom. The energy comes out at -4.53 eV/atom. For the polymorph energy (0 for the lowest one), the calculation gives 0.049 eV per atom.

The space group is P4/mmm (No. 123) and the conventional cell measures 4.068, 4.068 and 3.799 Å, with angles of 90.00, 90.00 and 90.00 degrees. The asymmetric unit holds Cr at (0.000, 0.000, 0.000), Ga at (0.000, 0.500, 0.500) and Ag at (0.500, 0.500, 0.000).



# 5
First-principles (PBE) data for a relaxed structure of CrGaAg3, as listed in Alexandria via LeMat-Bulk.

As for the formation energy: 0.70 eV/atom. The energy comes out at -3.54 eV/atom. For the polymorph energy (0 for the lowest one), the calculation gives 0.000 eV per atom.

The space group is Pm-3m (No. 221) and the conventional cell measures 4.831, 4.831 and 4.831 Å, with angles of 90.00, 90.00 and 90.00 degrees. The asymmetric unit holds Cr at (0.000, 0.000, 0.000), Ga at (0.500, 0.500, 0.500) and Ag at (0.000, 0.500, 0.500).



# 6
First-principles (PBE) data for a relaxed structure of CrGa2Ag2, as listed in Alexandria via LeMat-Bulk.

As for the formation energy: 0.52 eV/atom. The energy comes out at -3.76 eV/atom. For the polymorph energy (0 for the lowest one), the calculation gives 0.219 eV per atom.

The space group is I4/mmm (No. 139) and the conventional cell measures 3.717, 3.717 and 12.379 Å, with angles of 90.00, 90.00 and 90.00 degrees. The asymmetric unit holds Cr at (0.000, 0.000, 0.000), Ga at (0.000, 0.000, 0.405) and Ag at (0.000, 0.500, 0.250).



# 7
First-principles (PBE) data for a relaxed structure of CrGa2Ag, as listed in Alexandria via LeMat-Bulk.

As for the formation energy: 0.51 eV/atom. The energy comes out at -4.12 eV/atom. For the polymorph energy (0 for the lowest one), the calculation gives 0.463 eV per atom.

The space group is I-42d (No. 122) and the conventional cell measures 6.866, 6.866 and 5.665 Å, with angles of 90.00, 90.00 and 90.00 degrees. The asymmetric unit holds Cr at (0.000, 0.000, 0.000), Ga at (0.240, 0.750, 0.125) and Ag at (0.000, 0.000, 0.500).



# 8
First-principles (PBE) data for a relaxed structure of CrGa2Ag2, as listed in Alexandria via LeMat-Bulk.

As for the formation energy: 0.30 eV/atom. The energy comes out at -3.98 eV/atom. For the polymorph energy (0 for the lowest one), the calculation gives 0.000 eV per atom.

The space group is P4/mbm (No. 127) and the conventional cell measures 7.609, 7.609 and 3.097 Å, with angles of 90.00, 90.00 and 90.00 degrees. The asymmetric unit holds Cr at (0.000, 0.000, 0.000), Ga at (0.169, 0.331, 0.500) and Ag at (0.132, 0.632, 0.000).



# 9
First-principles (PBE) data for a relaxed structure of Cr3GaAg, as listed in Alexandria via LeMat-Bulk.

As for the formation energy: 1.50 eV/atom. The energy comes out at -5.45 eV/atom. For the polymorph energy (0 for the lowest one), the calculation gives 0.364 eV per atom.

The space group is Pm-3m (No. 221) and the conventional cell measures 5.009, 5.009 and 5.009 Å, with angles of 90.00, 90.00 and 90.00 degrees. The asymmetric unit holds Cr at (0.000, 0.000, 0.500), Ga at (0.500, 0.500, 0.500) and Ag at (0.000, 0.000, 0.000).



# 10
First-principles (PBE) data for a relaxed structure of CrGa2Ag2, as listed in Alexandria via LeMat-Bulk.

As for the formation energy: 0.32 eV/atom. The energy comes out at -3.95 eV/atom. For the polymorph energy (0 for the lowest one), the calculation gives 0.025 eV per atom.

The space group is I4/mmm (No. 139) and the conventional cell measures 3.738, 3.738 and 13.394 Å, with angles of 90.00, 90.00 and 90.00 degrees. The asymmetric unit holds Cr at (0.000, 0.000, 0.000), Ga at (0.000, 0.500, 0.250) and Ag at (0.000, 0.000, 0.399).



# 11
First-principles (PBE) data for a relaxed structure of CrGaAg3, as listed in Alexandria via LeMat-Bulk.

As for the formation energy: 0.97 eV/atom. The energy comes out at -3.27 eV/atom. For the polymorph energy (0 for the lowest one), the calculation gives 0.269 eV per atom.

The space group is Pm-3m (No. 221) and the conventional cell measures 5.067, 5.067 and 5.067 Å, with angles of 90.00, 90.00 and 90.00 degrees. The asymmetric unit holds Cr at (0.000, 0.000, 0.000), Ga at (0.500, 0.500, 0.500) and Ag at (0.000, 0.000, 0.500).



# 12
First-principles (PBE) data for a relaxed structure of CrGa3Ag, as listed in Alexandria via LeMat-Bulk.

As for the formation energy: 0.44 eV/atom. The energy comes out at -3.87 eV/atom. For the polymorph energy (0 for the lowest one), the calculation gives 0.000 eV per atom.

The space group is Pm-3m (No. 221) and the conventional cell measures 4.709, 4.709 and 4.709 Å, with angles of 90.00, 90.00 and 90.00 degrees. The asymmetric unit holds Cr at (0.000, 0.000, 0.000), Ga at (0.000, 0.000, 0.500) and Ag at (0.500, 0.500, 0.500).



# 13
First-principles (PBE) data for a relaxed structure of CrGa2Ag, as listed in Alexandria via LeMat-Bulk.

As for the formation energy: 0.05 eV/atom. The energy comes out at -4.58 eV/atom. For the polymorph energy (0 for the lowest one), the calculation gives 0.000 eV per atom.

The space group is P4/mmm (No. 123) and the conventional cell measures 2.932, 2.932 and 7.293 Å, with angles of 90.00, 90.00 and 90.00 degrees. The asymmetric unit holds Cr at (0.000, 0.000, 0.000), Ga at (0.500, 0.500, 0.222) and Ag at (0.000, 0.000, 0.500).



# 14
First-principles (PBE) data for a relaxed structure of CrGaNi2Ag, as listed in Alexandria via LeMat-Bulk.

As for the formation energy: 1.31 eV/atom. The energy comes out at -4.10 eV/atom.

The space group is P4/mmm (No. 123) and the conventional cell measures 4.656, 4.656 and 4.850 Å, with angles of 90.00, 90.00 and 90.00 degrees. The asymmetric unit holds Cr at (0.000, 0.000, 0.000), Ga at (0.500, 0.500, 0.000), Ni at (0.000, 0.500, 0.500) and Ag at (0.000, 0.000, 0.500).